No. 1
MgScBe | GGA-PBE | relaxed

The relative energy among the computed polymorphs comes out at 775 meV per atom.

The structure belongs to space group F-43m (No. 216); the cell edges are 6.449, 6.449 and 6.449 Å and the angles 90.00°, 90.00° and 90.00°. The distinct sites, in fractional coordinates, are Mg at (0.000, 0.000, 0.000), Sc at (0.250, 0.250, 0.250) and Be at (0.000, 0.000, 0.500).

No. 2
Mg2ScBe | GGA-PBE | relaxed

The structure belongs to space group Pmmm (No. 47); the cell edges are 3.645, 4.479 and 4.650 Å and the angles 90.00°, 90.00° and 90.00°. The distinct sites, in fractional coordinates, are Mg at (0.000, 0.000, 0.000), Mg at (0.500, 0.500, 0.000), Sc at (0.000, 0.500, 0.500) and Be at (0.500, 0.000, 0.500).

No. 3
MgScBe | GGA-PBE | relaxed

The relative energy among the computed polymorphs comes out at 177 meV per atom.

The structure belongs to space group F-43m (No. 216); the cell edges are 6.205, 6.205 and 6.205 Å and the angles 90.00°, 90.00° and 90.00°. The distinct sites, in fractional coordinates, are Mg at (0.000, 0.000, 0.000), Sc at (0.000, 0.000, 0.500) and Be at (0.250, 0.250, 0.250).

No. 4
Mg2ScBe | GGA-PBE | relaxed

The structure belongs to space group P4/mmm (No. 123); the cell edges are 3.082, 3.082 and 7.959 Å and the angles 90.00°, 90.00° and 90.00°. The distinct sites, in fractional coordinates, are Mg at (0.000, 0.000, 0.200), Sc at (0.500, 0.500, 0.500) and Be at (0.500, 0.500, 0.000).

No. 5
Mg2ScBe | GGA-PBE | relaxed

The structure belongs to space group C2/m (No. 12); the cell edges are 11.451, 3.044 and 4.811 Å and the angles 90.00°, 114.67° and 90.00°. The distinct sites, in fractional coordinates, are Mg at (0.206, 0.000, 0.206), Sc at (0.000, 0.000, 0.500) and Be at (0.000, 0.500, 0.000).

No. 6
Mg2ScBe | GGA-PBE | relaxed

The structure belongs to space group Amm2 (No. 38); the cell edges are 4.164, 3.209 and 11.764 Å and the angles 90.00°, 90.00° and 90.00°. The distinct sites, in fractional coordinates, are Mg at (0.000, 0.000, 0.000), Mg at (0.500, 0.000, 0.376), Sc at (0.500, 0.000, 0.652) and Be at (0.000, 0.000, 0.237).

What are the formation energy from the elements values for these records? In order: 246 54 73 60 52 54 kJ/mol of formula units.
What are the N(E_F) values for these records? In order: 1.408 0.745 0.964 0.752 0.679 0.557 states/eV/atom.
What are the electronic total energy values for these records? In order: -36.40 -12.69 -43.58 -12.62 -25.41 -25.37 eV for the cell shown.